# 1
8
Lattice="7.424 0.638 0.000 2.421 7.370 0.000 1.211 3.685 6.358" Properties=species:S:1:pos:R:3 comment="Ac6TlPd PBE optimized geometry" formation_enthalpy_0k_mev_per_atom=-101 pbc="T T T"
Ac 7.400 6.255 3.904
Tl 0.000 0.000 0.000
Ac 2.687 2.128 0.000
Ac 3.657 5.438 2.454
Pd 4.923 4.004 0.000
Ac 7.158 5.879 0.000
Ac 6.189 2.570 2.454
Ac 4.867 9.123 3.904

# 2
8
Lattice="-0.242 0.667 -5.166 -4.348 -1.255 -2.590 -4.500 7.701 -1.426" Properties=species:S:1:pos:R:3 comment="Ho4CdAgHg2 PBE optimized geometry" formation_enthalpy_0k_mev_per_atom=-408 pbc="T T T"
Cd 0.000 0.000 0.000
Ho -5.635 6.455 -4.165
Ho -5.724 2.426 -7.313
Ho -3.455 0.657 -5.016
Ag -4.545 3.556 -4.591
Ho -3.366 4.686 -1.869
Hg -2.246 1.707 -2.306
Hg -6.844 5.405 -6.876

# 3
16
Lattice="-0.032 5.819 2.695 0.021 -4.002 8.642 8.648 0.047 0.001" Properties=species:S:1:pos:R:3 comment="Rb2SrVS4 PBE optimized geometry" formation_energy_uncorrected_ev_per_atom=-1.2206 pbc="T T T"
S 1.897 4.274 4.970
Rb 6.803 2.937 8.050
Sr 0.005 -0.992 8.998
S 6.246 -0.330 7.332
S 6.704 4.300 4.970
Rb 2.489 1.116 4.300
Rb 6.147 1.136 4.300
V 0.003 -0.594 1.558
Sr 4.296 5.152 3.413
S -0.007 1.341 2.595
Rb 1.813 2.909 8.050
S 4.311 2.360 1.657
S 4.314 1.777 9.334
S -0.010 1.682 10.700
S 2.405 -0.351 7.332
V 4.325 -0.265 8.529

In order of appearance, total energy = -4.127, -3.243, -4.876 eV/atom.